1.
# PBE-GGA SmCdInTe3, relaxed
# * energy relative to the lowest polymorph listed for this composition: 0.065 eV/atom
data_SmCdInTe3
_chemical_formula_sum 'Sm4 Cd4 In4 Te12'
_space_group_name_H-M_alt 'P 1'
_space_group_IT_number 1
_cell_length_a 8.785
_cell_length_b 4.694
_cell_length_c 18.802
_cell_angle_alpha 90.00
_cell_angle_beta 90.00
_cell_angle_gamma 90.00
loop_
_space_group_symop_operation_xyz
'x,y,z'
loop_
_atom_site_label
_atom_site_fract_x
_atom_site_fract_y
_atom_site_fract_z
_atom_site_occupancy
Sm1 0.230 0.250 0.041 1
Sm2 0.270 0.750 0.541 1
Sm3 0.730 0.250 0.459 1
Sm4 0.770 0.750 0.959 1
Cd1 0.078 0.250 0.341 1
Cd2 0.422 0.750 0.841 1
Cd3 0.578 0.250 0.159 1
Cd4 0.922 0.750 0.659 1
In1 0.057 0.250 0.801 1
In2 0.443 0.750 0.301 1
In3 0.557 0.250 0.699 1
In4 0.943 0.750 0.199 1
Te1 0.006 0.250 0.577 1
Te2 0.128 0.750 0.937 1
Te3 0.231 0.250 0.208 1
Te4 0.269 0.750 0.708 1
Te5 0.372 0.250 0.437 1
Te6 0.494 0.750 0.077 1
Te7 0.506 0.250 0.923 1
Te8 0.628 0.750 0.563 1
Te9 0.731 0.250 0.292 1
Te10 0.769 0.750 0.792 1
Te11 0.872 0.250 0.063 1
Te12 0.994 0.750 0.423 1



2.
# PBE-GGA SmCdInTe3, relaxed
# * energy relative to the lowest polymorph listed for this composition: 0.069 eV/atom
data_SmCdInTe3
_chemical_formula_sum 'Sm2 Cd2 In2 Te6'
_space_group_name_H-M_alt 'P 1'
_space_group_IT_number 1
_cell_length_a 9.979
_cell_length_b 9.979
_cell_length_c 9.655
_cell_angle_alpha 103.34
_cell_angle_beta 103.34
_cell_angle_gamma 25.65
loop_
_space_group_symop_operation_xyz
'x,y,z'
loop_
_atom_site_label
_atom_site_fract_x
_atom_site_fract_y
_atom_site_fract_z
_atom_site_occupancy
Sm1 0.175 0.175 0.091 1
Sm2 0.825 0.825 0.909 1
Cd1 0.469 0.469 0.779 1
Cd2 0.531 0.531 0.221 1
In1 0.134 0.134 0.577 1
In2 0.866 0.866 0.423 1
Te1 0.000 0.000 0.000 1
Te2 0.318 0.318 0.676 1
Te3 0.337 0.337 0.143 1
Te4 0.500 0.500 0.500 1
Te5 0.663 0.663 0.857 1
Te6 0.682 0.682 0.324 1



3.
# PBE-GGA SmCdInTe3, relaxed
# * energy relative to the lowest polymorph listed for this composition: 0.000 eV/atom
data_SmCdInTe3
_chemical_formula_sum 'Sm4 Cd4 In4 Te12'
_space_group_name_H-M_alt 'P 1'
_space_group_IT_number 1
_cell_length_a 11.758
_cell_length_b 4.497
_cell_length_c 15.191
_cell_angle_alpha 90.00
_cell_angle_beta 90.00
_cell_angle_gamma 90.00
loop_
_space_group_symop_operation_xyz
'x,y,z'
loop_
_atom_site_label
_atom_site_fract_x
_atom_site_fract_y
_atom_site_fract_z
_atom_site_occupancy
Sm1 0.014 0.250 0.246 1
Sm2 0.486 0.750 0.746 1
Sm3 0.514 0.250 0.254 1
Sm4 0.986 0.750 0.754 1
Cd1 0.239 0.250 0.719 1
Cd2 0.261 0.750 0.219 1
Cd3 0.739 0.250 0.781 1
Cd4 0.761 0.750 0.281 1
In1 0.227 0.750 0.511 1
In2 0.273 0.250 0.011 1
In3 0.727 0.750 0.989 1
In4 0.773 0.250 0.489 1
Te1 0.040 0.250 0.613 1
Te2 0.070 0.750 0.106 1
Te3 0.238 0.750 0.837 1
Te4 0.262 0.250 0.337 1
Te5 0.430 0.250 0.606 1
Te6 0.460 0.750 0.113 1
Te7 0.540 0.250 0.887 1
Te8 0.570 0.750 0.394 1
Te9 0.738 0.750 0.663 1
Te10 0.762 0.250 0.163 1
Te11 0.930 0.250 0.894 1
Te12 0.960 0.750 0.387 1



4.
# PBE-GGA SmYCd2In2, relaxed
# * E: -3.535 eV per atom
data_SmYCd2In2
_chemical_formula_sum 'Sm1 Y1 Cd2 In2'
_space_group_name_H-M_alt 'P 1'
_space_group_IT_number 1
_cell_length_a 4.876
_cell_length_b 4.876
_cell_length_c 7.508
_cell_angle_alpha 90.00
_cell_angle_beta 90.00
_cell_angle_gamma 120.00
loop_
_space_group_symop_operation_xyz
'x,y,z'
loop_
_atom_site_label
_atom_site_fract_x
_atom_site_fract_y
_atom_site_fract_z
_atom_site_occupancy
Sm1 0.000 0.000 0.000 1
Y1 0.000 0.000 0.500 1
Cd1 0.333 0.667 0.791 1
Cd2 0.667 0.333 0.297 1
In1 0.333 0.667 0.216 1
In2 0.667 0.333 0.711 1



5.
# PBE-GGA CdIn2Sn, relaxed
# * E: -2.544 eV per atom
data_CdIn2Sn
_chemical_formula_sum 'Cd1 In2 Sn1'
_space_group_name_H-M_alt 'P 1'
_space_group_IT_number 1
_cell_length_a 5.318
_cell_length_b 5.318
_cell_length_c 5.318
_cell_angle_alpha 60.00
_cell_angle_beta 60.00
_cell_angle_gamma 60.00
loop_
_space_group_symop_operation_xyz
'x,y,z'
loop_
_atom_site_label
_atom_site_fract_x
_atom_site_fract_y
_atom_site_fract_z
_atom_site_occupancy
Cd1 0.000 0.000 0.000 1
In1 0.250 0.250 0.250 1
In2 0.500 0.500 0.500 1
Sn1 0.750 0.750 0.750 1



6.
# PBE-GGA CdIn2Sn2, relaxed
# * energy relative to the lowest polymorph listed for this composition: 0.000 eV/atom
data_CdIn2Sn2
_chemical_formula_sum 'Cd1 In2 Sn2'
_space_group_name_H-M_alt 'P 1'
_space_group_IT_number 1
_cell_length_a 6.943
_cell_length_b 6.943
_cell_length_c 6.943
_cell_angle_alpha 136.79
_cell_angle_beta 136.79
_cell_angle_gamma 62.76
loop_
_space_group_symop_operation_xyz
'x,y,z'
loop_
_atom_site_label
_atom_site_fract_x
_atom_site_fract_y
_atom_site_fract_z
_atom_site_occupancy
Cd1 0.000 0.000 0.000 1
In1 0.250 0.750 0.500 1
In2 0.750 0.250 0.500 1
Sn1 0.381 0.381 0.000 1
Sn2 0.619 0.619 0.000 1



7.
# PBE-GGA SrCd2InSn, relaxed
# * E: -2.379 eV per atom
data_SrCd2InSn
_chemical_formula_sum 'Sr2 Cd4 In2 Sn2'
_space_group_name_H-M_alt 'P 1'
_space_group_IT_number 1
_cell_length_a 4.749
_cell_length_b 4.749
_cell_length_c 12.531
_cell_angle_alpha 90.00
_cell_angle_beta 90.00
_cell_angle_gamma 90.00
loop_
_space_group_symop_operation_xyz
'x,y,z'
loop_
_atom_site_label
_atom_site_fract_x
_atom_site_fract_y
_atom_site_fract_z
_atom_site_occupancy
Sr1 0.250 0.250 0.246 1
Sr2 0.750 0.750 0.754 1
Cd1 0.250 0.250 0.638 1
Cd2 0.250 0.750 0.000 1
Cd3 0.750 0.250 0.000 1
Cd4 0.750 0.750 0.362 1
In1 0.250 0.750 0.500 1
In2 0.750 0.250 0.500 1
Sn1 0.250 0.250 0.861 1
Sn2 0.750 0.750 0.139 1



8.
# PBE-GGA SrCdIn2, relaxed
# * E: -2.270 eV per atom
data_SrCdIn2
_chemical_formula_sum 'Sr1 Cd1 In2'
_space_group_name_H-M_alt 'P 1'
_space_group_IT_number 1
_cell_length_a 5.410
_cell_length_b 5.410
_cell_length_c 5.410
_cell_angle_alpha 60.00
_cell_angle_beta 60.00
_cell_angle_gamma 60.00
loop_
_space_group_symop_operation_xyz
'x,y,z'
loop_
_atom_site_label
_atom_site_fract_x
_atom_site_fract_y
_atom_site_fract_z
_atom_site_occupancy
Sr1 0.000 0.000 0.000 1
Cd1 0.250 0.250 0.250 1
In1 0.500 0.500 0.500 1
In2 0.750 0.750 0.750 1